Here is an optimized crystal structure of CeTi2Ni from Alexandria via LeMat-Bulk. Energies are from GGA-PBE.

Cell: 3.0651 3.0651 7.5727 Å, 90.00 90.00 90.00°
Space group P4/mmm (No. 123)
Asymmetric unit:
Ce: 0.0000 0.0000 0.0000 x1
Ti: 0.5000 0.5000 0.3093 x2
Ni: 0.0000 0.0000 0.5000 x1

- crystal system = tetragonal
- total energy (eV per cell) = -27.8
- offset from the most stable computed form (meV/atom) = 0
- calculated formation energy (eV/atom) = -0.0682
- M_tot (μB/cell) = 0.3

***

Here is an optimized crystal structure of Cr2AgRh from Alexandria via LeMat-Bulk. Energies are from GGA-PBE.

Cell: 2.7943 2.7943 25.2649 Å, 90.00 90.00 120.00°
Space group R3m (No. 160, hexagonal axes)
Asymmetric unit:
Cr: 0.0000 0.0000 0.0000 x3
Cr: 0.0000 0.0000 0.2707 x3
Ag: 0.0000 0.0000 0.5093 x3
Rh: 0.0000 0.0000 0.7460 x3

- crystal system = trigonal
- total energy (eV per cell) = -85.3
- calculated formation energy (eV/atom) = 0.2580
- M_tot (μB/cell) = 0.0

***

Here is an optimized crystal structure of LiYSb2Pt from Alexandria via LeMat-Bulk. Energies are from GGA-PBE.

Cell: 5.6003 5.6003 5.2470 Å, 90.00 90.00 90.00°
Space group P4/mmm (No. 123)
Asymmetric unit:
Li: 0.0000 0.0000 0.0000 x1
Y: 0.0000 0.0000 0.5000 x1
Sb: 0.0000 0.5000 0.5000 x2
Pt: 0.5000 0.5000 0.0000 x1

- crystal system = tetragonal
- total energy (eV per cell) = -17.9
- ΔE_f (raw) (meV/atom) = 960.4
- M_tot (μB/cell) = 0.0

***

- Look up the total energy of the first one.
  -27.8 eV per cell